Here is a relaxed structure of Sr2Mg2Zn from Alexandria. Energies are from PBE.

Geometry as CIF:
```
data_Sr2Mg2Zn
_chemical_formula_sum 'Sr4 Mg4 Zn2'
_symmetry_space_group_name_H-M 'P 1'
_symmetry_Int_Tables_number 1
_cell_length_a 8.811
_cell_length_b 8.811
_cell_length_c 4.897
_cell_angle_alpha 90.00
_cell_angle_beta 90.00
_cell_angle_gamma 90.00
loop_
_symmetry_equiv_pos_as_xyz
'x,y,z'
loop_
_atom_site_label
_atom_site_fract_x
_atom_site_fract_y
_atom_site_fract_z
Mg1 0.871 0.371 0.500
Mg2 0.129 0.629 0.500
Sr1 0.165 0.335 0.000
Mg3 0.371 0.129 0.500
Sr2 0.665 0.165 0.000
Mg4 0.629 0.871 0.500
Zn1 0.000 0.000 0.000
Sr3 0.335 0.835 0.000
Zn2 0.500 0.500 0.000
Sr4 0.835 0.665 0.000
```

Results
Energy relative to the lowest polymorph listed for this composition (meV/atom): 287.8
Crystal system: tetragonal
Energy relative to the elements (eV/atom): 0.187

---

Here is a relaxed structure of SrMg2Zn from Alexandria. Energies are from PBE.

Geometry as CIF:
```
data_SrMg2Zn
_chemical_formula_sum 'Sr1 Mg2 Zn1'
_symmetry_space_group_name_H-M 'P 1'
_symmetry_Int_Tables_number 1
_cell_length_a 4.704
_cell_length_b 4.704
_cell_length_c 4.994
_cell_angle_alpha 90.00
_cell_angle_beta 90.00
_cell_angle_gamma 89.99
loop_
_symmetry_equiv_pos_as_xyz
'x,y,z'
loop_
_atom_site_label
_atom_site_fract_x
_atom_site_fract_y
_atom_site_fract_z
Mg1 0.000 0.000 0.000
Sr1 0.500 0.000 0.500
Mg2 0.500 0.500 0.000
Zn1 0.000 0.500 0.500
```

Results
Crystal system: tetragonal
Energy relative to the elements (eV/atom): 0.011

---

Here is a relaxed structure of Sr3MgZn2 from Alexandria. Energies are from PBE.

Geometry as CIF:
```
data_Sr3MgZn2
_chemical_formula_sum 'Sr3 Mg1 Zn2'
_symmetry_space_group_name_H-M 'P 1'
_symmetry_Int_Tables_number 1
_cell_length_a 3.951
_cell_length_b 3.951
_cell_length_c 12.255
_cell_angle_alpha 90.00
_cell_angle_beta 90.00
_cell_angle_gamma 90.00
loop_
_symmetry_equiv_pos_as_xyz
'x,y,z'
loop_
_atom_site_label
_atom_site_fract_x
_atom_site_fract_y
_atom_site_fract_z
Sr1 0.000 0.000 0.314
Zn1 0.500 0.500 0.161
Mg1 0.500 0.500 0.500
Sr2 0.000 0.000 0.000
Zn2 0.500 0.500 0.839
Sr3 0.000 0.000 0.686
```

Results
Crystal system: tetragonal
Energy relative to the elements (eV/atom): -0.136